Record 1
5
Lattice="-2.222 2.364 -1.784 1.738 -0.765 -3.178 -5.446 -6.233 -1.477" Properties=species:S:1:pos:R:3 comment="PBE PdIN2O, relaxed" e_form_raw_ev_per_atom=1.597 pbc="T T T"
I -2.723 -3.117 -0.738
O -2.965 -2.317 -3.220
Pd 0.000 0.000 0.000
N 0.869 -0.383 -1.589
N -1.111 1.182 -0.892



Record 2
3
Lattice="-1.524 2.818 2.190 -2.465 -3.605 2.923 4.833 1.591 1.315" Properties=species:S:1:pos:R:3 comment="PBE TbDyBi, relaxed" e_form_ev_per_atom=-0.26 pbc="T T T"
Tb 1.287 1.918 3.451
Bi -0.010 0.019 0.014
Dy -0.433 -1.133 2.963



Record 3
5
Lattice="-0.567 -5.858 2.064 6.068 -0.081 1.439 -1.378 2.226 5.938" Properties=species:S:1:pos:R:3 comment="PBE BaAsSeBr2, relaxed" e_form_raw_ev_per_atom=-0.116 pbc="T T T"
As 2.061 -1.857 4.720
Se -0.689 1.113 2.969
Ba 0.000 0.000 0.000
Br 3.034 -0.040 0.719
Br -0.284 -2.929 1.032



Record 4
8
Lattice="7.806 0.011 0.010 3.895 6.766 0.014 3.892 2.249 7.091" Properties=species:S:1:pos:R:3 comment="PBE PmPrI6, relaxed" e_form_raw_ev_per_atom=-1.356 pbc="T T T"
Pm 0.000 0.000 0.000
Pr 7.797 4.513 3.557
I 5.186 4.477 5.335
I 9.126 2.269 5.339
I 6.524 2.241 1.771
I 6.467 6.757 1.776
I 10.407 4.549 1.779
I 9.070 6.785 5.343



Record 5
10
Lattice="-2.531 3.469 -0.353 -3.066 -2.815 -5.673 -1.827 -0.644 6.764" Properties=species:S:1:pos:R:3 comment="PBE TmCoNi3, relaxed" e_form_ev_per_atom=0.28 pbc="T T T"
Tm -4.480 0.637 -1.070
Tm -2.945 -0.627 1.808
Co -4.758 0.149 -3.863
Co -2.666 -0.139 4.601
Ni -4.898 0.826 3.781
Ni -3.134 2.073 3.388
Ni -4.291 -2.062 -2.650
Ni -2.527 -0.815 -3.043
Ni 0.000 0.000 0.000
Ni -1.266 1.735 -0.177



Record 6
5
Lattice="4.296 0.000 0.000 0.000 4.296 0.000 0.000 0.000 4.296" Properties=species:S:1:pos:R:3 comment="PBE LiNbS3, relaxed" e_form_raw_ev_per_atom=0.369 pbc="T T T"
Nb 2.148 2.148 2.148
S 0.000 2.148 0.000
S 0.000 0.000 2.148
S 2.148 0.000 0.000
Li 0.000 0.000 0.000



Record 7
4
Lattice="-4.306 -0.135 0.607 -1.647 -2.089 3.442 -1.656 4.915 4.940" Properties=species:S:1:pos:R:3 comment="PBE LaNpGe2, relaxed" e_form_ev_per_atom=-0.26 pbc="T T T"
Np 0.000 0.000 0.000
Ge -1.913 0.484 2.127
Ge -5.696 2.207 6.861
La -3.804 1.345 4.494



Record 8
5
Lattice="-0.513 4.650 -2.615 -2.135 1.291 2.716 4.339 1.892 2.512" Properties=species:S:1:pos:R:3 comment="PBE SrLiMn2H, relaxed" e_tot_ev_per_atom=-4.1934 pbc="T T T"
Sr 0.845 3.916 1.306
Mn 2.170 0.946 1.256
Mn -0.257 2.325 -1.307
H -1.068 0.646 1.358
Li 0.000 0.000 0.000



Record 9
4
Lattice="-1.044 3.004 -2.049 -2.378 1.393 3.253 4.544 2.975 2.047" Properties=species:S:1:pos:R:3 comment="PBE Y2ReP, relaxed" e_form_ev_per_atom=0.02 pbc="T T T"
Y 0.386 0.253 0.174
Y 1.311 4.177 1.964
Re -0.990 2.670 0.927
P 2.687 1.759 1.210



Record 10
12
Lattice="6.378 0.000 0.000 0.000 7.181 -1.996 0.000 1.807 8.332" Properties=species:S:1:pos:R:3 comment="PBE AcNdPd, relaxed" e_form_ev_per_atom=-0.44 pbc="T T T"
Ac 2.289 2.961 6.995
Ac 4.089 6.027 -0.659
Ac 5.478 3.340 4.505
Ac 0.900 5.648 1.830
Nd 5.548 2.454 0.524
Nd 4.019 6.949 3.692
Nd 0.830 6.534 5.811
Nd 2.359 2.040 2.643
Pd 2.322 4.457 4.365
Pd 4.056 4.531 1.970
Pd 0.867 7.144 -0.799
Pd 5.511 1.844 7.135



Record 11
4
Lattice="-3.481 0.016 -3.126 0.823 -3.192 -0.933 -2.917 -1.699 3.240" Properties=species:S:1:pos:R:3 comment="PBE Sc2CdOs, relaxed" e_form_ev_per_atom=-0.29 pbc="T T T"
Cd -0.579 -2.632 0.632
Os -3.778 -3.474 0.688
Sc -2.450 -1.886 2.718
Sc -2.732 -1.029 -0.464



Record 12
19
Lattice="-0.798 5.601 -5.474 -6.169 -0.340 6.213 4.187 4.832 4.334" Properties=species:S:1:pos:R:3 comment="PBE Dy5Cd2Hg12, relaxed" e_form_ev_per_atom=-0.27 pbc="T T T"
Dy -0.823 3.948 4.160
Dy -4.021 1.846 2.475
Dy 2.094 2.416 2.167
Dy 1.241 8.248 2.598
Dy -1.957 6.146 0.913
Cd -0.620 4.349 -4.251
Cd -0.178 1.252 -1.223
Hg -4.704 5.099 0.243
Hg -0.914 3.621 7.261
Hg -1.397 7.008 3.952
Hg -3.352 2.623 5.438
Hg -3.671 4.865 3.247
Hg -2.867 5.847 6.401
Hg 0.087 4.247 -1.328
Hg 0.571 7.471 -0.365
Hg 0.891 5.229 1.825
Hg -1.866 6.472 -2.189
Hg -1.383 3.086 1.121
Hg 1.924 4.994 4.830



What is the formula in the third record? BaAsSeBr2